TcIr4Os | Alexandria | PBE-GGA | relaxed; relative energy among the computed polymorphs = 67.4 kJ/mol of atoms; DFT formation energy = 629 meV/atom; DOS at the Fermi energy = 7.02 states/eV/f.u.; SG = F-43m (216)
1.0
0.0000 3.5941 3.5941
3.5941 0.0000 3.5941
3.5941 3.5941 0.0000
Tc Ir Os
1 4 1
direct
0.0000 0.0000 0.0000
0.8748 0.3751 0.3751
0.3751 0.3751 0.8748
0.3751 0.8748 0.3751
0.3751 0.3751 0.3751
0.7500 0.7500 0.7500